Entry 1:
Crystalline CdFeBr2 at its relaxed geometry. Source: the Alexandria database, functional PBE-GGA.

Computed properties:
DOS(E_F) = 5.54 states/eV/f.u.
raw formation energy = 0.021 eV per atom
raw total energy = -3.160 eV per atom
calculated volume = 120 Å³/f.u.

abc: 6.237 6.237 6.237
angles: 147.76 108.20 80.90
Last column: magnetic moment on the atom in μB.
Element x y z (fractional)
Br: 0.702 0.202 0.500  0.01
Cd: 0.480 0.480 0.000  -0.04
Br: 0.068 0.068 0.000  0.10
Fe: 0.250 0.750 0.500  3.08

Entry 2:
Crystalline HIrRh2Au at its relaxed geometry. Source: the Alexandria database, functional PBE-GGA.

Computed properties:
DOS(E_F) = 6.47 states/eV/f.u.
raw total energy = -5.737 eV per atom
calculated volume = 63 Å³/f.u.

abc: 3.944 3.944 4.076
angles: 90.00 90.00 90.00
Element x y z (fractional)
H: 0.000 0.000 0.000
Au: 0.000 0.000 0.500
Rh: 0.500 0.000 0.000
Ir: 0.500 0.500 0.500
Rh: 0.000 0.500 0.000